1.
A relaxed ReSbIr crystal. Source: the Alexandria database, functional PBE-GGA.

Cell and atoms, written as POSCAR:
```
ReSbIr
1.0
4.920 0.002 -0.001
2.344 4.326 0.001
-3.226 -2.846 2.388
Ir Re Sb
1 1 1
direct
0.986 0.986 0.000 Ir
0.347 0.347 0.000 Re
0.667 0.667 0.000 Sb
```

- ΔE_f (raw) (eV/atom) = 0.560
- E_tot (eV/atom) = -7.92
- total moment (μB/f.u.) = 0.00



2.
A relaxed InMoPt4 crystal. Source: the Alexandria database, functional PBE-GGA.

Cell and atoms, written as POSCAR:
```
InMoPt4
1.0
0.000 3.743 3.743
3.743 0.000 3.743
3.743 3.743 0.000
In Mo Pt
1 1 4
direct
0.250 0.250 0.250 In
0.000 0.000 0.000 Mo
0.625 0.625 0.124 Pt
0.625 0.124 0.625 Pt
0.625 0.625 0.625 Pt
0.124 0.625 0.625 Pt
```

- ΔE_f (eV/atom) = 0.08
- E_tot (eV/atom) = -6.20
- total moment (μB/f.u.) = 2.32



3.
A relaxed InHgPd crystal. Source: the Alexandria database, functional PBE-GGA.

Cell and atoms, written as POSCAR:
```
InHgPd
1.0
3.228 0.000 0.000
0.000 4.679 0.000
0.000 -2.340 4.052
Hg Pd In
1 1 1
direct
0.023 0.000 0.000 Hg
0.371 0.333 0.667 Pd
0.606 0.667 0.333 In
```

- ΔE_f (eV/atom) = -0.10
- E_tot (eV/atom) = -2.84
- total moment (μB/f.u.) = 0.00



4.
A relaxed Fe2OsAu crystal. Source: the Alexandria database, functional PBE-GGA.

Cell and atoms, written as POSCAR:
```
Fe2OsAu
1.0
-1.381 1.339 1.936
-1.018 -2.364 0.908
5.848 -0.724 4.672
Au Fe Os
1 2 1
direct
0.500 0.500 0.759 Au
0.000 0.000 0.027 Fe
0.500 0.500 0.253 Fe
0.000 0.000 0.461 Os
```

- ΔE_f (eV/atom) = 0.27
- E_tot (eV/atom) = -7.58
- total moment (μB/f.u.) = 4.40



5.
A relaxed PuHfAs crystal. Source: the Alexandria database, functional PBE-GGA.

Cell and atoms, written as POSCAR:
```
PuHfAs
1.0
-2.381 2.490 -1.363
-3.510 -2.836 0.949
1.404 3.065 3.147
As Hf Pu
1 1 1
direct
0.167 0.000 0.000 As
0.167 0.333 0.667 Hf
0.667 0.667 0.333 Pu
```

- ΔE_f (eV/atom) = -0.33
- E_tot (eV/atom) = -9.98
- total moment (μB/f.u.) = 5.93



6.
A relaxed Y3Tl2Cd crystal. Source: the Alexandria database, functional PBE-GGA.

Cell and atoms, written as POSCAR:
```
Y3Tl2Cd
1.0
-0.392 -0.891 3.628
3.689 0.483 0.517
-1.805 11.088 2.527
Y Tl Cd
3 2 1
direct
0.000 0.000 0.000 Y
0.000 0.000 0.659 Y
0.000 0.000 0.341 Y
0.500 0.500 0.827 Tl
0.500 0.500 0.173 Tl
0.500 0.500 0.500 Cd
```

- ΔE_f (eV/atom) = -0.37
- E_tot (eV/atom) = -4.55
- total moment (μB/f.u.) = 0.00



7.
A relaxed TcNi2Ag crystal. Source: the Alexandria database, functional PBE-GGA.

Cell and atoms, written as POSCAR:
```
TcNi2Ag
1.0
-0.933 2.435 -0.576
-1.620 -1.055 -1.843
-5.404 -0.834 5.227
Ag Ni Tc
1 2 1
direct
0.500 0.500 0.750 Ag
0.000 0.000 0.018 Ni
0.000 0.000 0.482 Ni
0.500 0.500 0.250 Tc
```

- ΔE_f (eV/atom) = 0.11
- E_tot (eV/atom) = -6.09
- total moment (μB/f.u.) = 0.00



8.
A relaxed EuDy2Pd crystal. Source: the Alexandria database, functional PBE-GGA.

Cell and atoms, written as POSCAR:
```
EuDy2Pd
1.0
-3.139 -0.901 -1.472
0.925 -3.458 0.143
-3.640 -0.636 8.151
Eu Pd Dy
1 1 2
direct
0.500 0.500 0.500 Eu
0.500 0.500 0.000 Pd
0.000 0.000 0.816 Dy
0.000 0.000 0.184 Dy
```

- ΔE_f (eV/atom) = -0.38
- E_tot (eV/atom) = -6.55
- total moment (μB/f.u.) = 8.10



9.
A relaxed SrLaMg2Pd crystal. Source: the Alexandria database, functional PBE-GGA.

Cell and atoms, written as POSCAR:
```
SrLaMg2Pd
1.0
-0.251 4.992 -1.972
-5.175 -0.750 -1.239
-1.435 1.853 4.874
Sr Mg Pd La
1 2 1 1
direct
0.500 0.500 0.500 Sr
0.000 0.500 0.000 Mg
0.500 0.000 0.000 Mg
0.000 0.000 0.000 Pd
0.000 0.000 0.500 La
```

- ΔE_f (eV/atom) = -0.31
- E_tot (eV/atom) = -3.30
- total moment (μB/f.u.) = 0.00



10.
A relaxed KSiAu2 crystal. Source: the Alexandria database, functional PBE-GGA.

Cell and atoms, written as POSCAR:
```
KSiAu2
1.0
5.614 -0.065 -0.046
1.127 5.501 0.046
-2.443 -3.868 3.255
Au K Si
2 1 1
direct
0.073 0.073 0.000 Au
0.427 0.427 0.000 Au
0.750 0.250 0.500 K
0.250 0.750 0.500 Si
```

- ΔE_f (raw) (eV/atom) = 0.115
- E_tot (eV/atom) = -3.15
- total moment (μB/f.u.) = 0.00



11.
A relaxed MgHgRu2 crystal. Source: the Alexandria database, functional PBE-GGA.

Cell and atoms, written as POSCAR:
```
MgHgRu2
1.0
4.514 0.000 0.000
2.257 3.909 0.000
2.257 1.303 3.686
Hg Mg Ru
1 1 2
direct
0.500 0.500 0.500 Hg
0.750 0.750 0.750 Mg
0.000 0.000 0.000 Ru
0.250 0.250 0.250 Ru
```

- ΔE_f (eV/atom) = 0.32
- E_tot (eV/atom) = -4.79
- total moment (μB/f.u.) = 0.00



12.
A relaxed TaSbP2S crystal. Source: the Alexandria database, functional PBE-GGA.

Cell and atoms, written as POSCAR:
```
TaSbP2S
1.0
4.895 0.000 0.000
0.000 4.895 0.000
0.000 0.000 4.804
Sb S P Ta
1 1 2 1
direct
0.000 0.000 0.000 Sb
0.000 0.000 0.500 S
0.000 0.500 0.000 P
0.500 0.000 0.000 P
0.500 0.500 0.500 Ta
```

- ΔE_f (raw) (eV/atom) = 1.407
- E_tot (eV/atom) = -4.78
- total moment (μB/f.u.) = 1.35